## BaTc3Pb (GGA-PBE)

Data for an optimized crystal structure of BaTc3Pb.

Lattice parameters (Å, degrees): 5.1380 5.1380 5.1380 90.00 90.00 90.00
With the nearest neighbours (Å) after each atom.
Fractional positions:
Pb 0.5000 0.5000 0.5000  12 Tc 3.63
Ba 0.0000 0.0000 0.0000  6 Tc 2.57
Tc 0.0000 0.5000 0.0000  2 Ba 2.57
Tc 0.0000 0.0000 0.5000  2 Ba 2.57
Tc 0.5000 0.0000 0.0000  2 Ba 2.57

Total DFT energy (no corrections): -4.69 eV per atom
Theoretical density: 7.82 g cm⁻³
Offset from the most stable computed form: 844 meV per atom
Energy of formation: 2654 meV per atom

=====

## Tm3RuPb2 (GGA-PBE)

Data for an optimized crystal structure of Tm3RuPb2.

Lattice parameters (Å, degrees): 6.2064 6.6483 8.2221 103.44 112.17 90.00
With the nearest neighbours (Å) after each atom.
Fractional positions:
Tm 0.3259 0.2500 0.0000  1 Ru 2.78
Tm 0.6741 0.7500 0.0000  1 Ru 2.78
Tm 0.0751 0.1063 0.3001  1 Ru 2.70
Tm 0.7749 0.3937 0.6999  1 Ru 2.70
Tm 0.2251 0.6063 0.3001  1 Ru 2.70
Tm 0.9249 0.8937 0.6999  1 Ru 2.70
Ru 0.1221 0.7500 0.0000  3 Tm 2.70-2.78
Ru 0.8779 0.2500 0.0000  3 Tm 2.70-2.78
Pb 0.7448 0.5292 0.3247  6 Tm 3.11-3.35, 1 Ru 3.26, 3 Pb 3.48
Pb 0.5799 0.0292 0.3247  6 Tm 3.11-3.35, 1 Ru 3.26, 3 Pb 3.48
Pb 0.4201 0.9708 0.6753  6 Tm 3.11-3.35, 1 Ru 3.26, 3 Pb 3.48
Pb 0.2552 0.4708 0.6753  6 Tm 3.11-3.35, 1 Ru 3.26, 3 Pb 3.48

Total DFT energy (no corrections): -5.35 eV per atom
Theoretical density: 11.16 g cm⁻³
Offset from the most stable computed form: 84 meV per atom
Energy of formation: -333 meV per atom

=====

## Ce8P3Se4S (GGA-PBE)

Data for an optimized crystal structure of Ce8P3Se4S.

Lattice parameters (Å, degrees): 8.2482 8.3132 8.2482 119.74 120.00 90.00
With the nearest neighbours (Å) after each atom.
Fractional positions:
Ce 0.2452 0.7342 0.9891  2 P 2.86, 1 S 2.87, 3 Se 2.99
Ce 0.2452 0.7342 0.4903  2 P 2.86, 1 S 2.87, 3 Se 2.99
Ce 0.2552 0.2655 0.5104  3 P 2.87, 3 Se 2.99
Ce 0.7440 0.7342 0.9891  2 P 2.86, 1 S 2.87, 3 Se 2.99
Ce 0.2560 0.2658 0.0109  2 P 2.86, 1 S 2.87, 3 Se 2.99
Ce 0.7448 0.7345 0.4896  3 P 2.87, 3 Se 2.99
Ce 0.7548 0.2658 0.5097  2 P 2.86, 1 S 2.87, 3 Se 2.99
Ce 0.7548 0.2658 0.0109  2 P 2.86, 1 S 2.87, 3 Se 2.99
P 0.5000 0.5000 0.0000  6 Ce 2.86-2.87
P 0.5000 0.5000 0.5000  6 Ce 2.86-2.87
P 0.0000 0.5000 0.5000  6 Ce 2.86-2.87
Se 0.5000 0.0000 0.0000  6 Ce 2.99
Se 0.5000 0.0000 0.5000  6 Ce 2.99
Se 0.0000 0.0000 0.0000  6 Ce 2.99
Se 0.0000 0.0000 0.5000  6 Ce 2.99
S 0.0000 0.5000 0.0000  6 Ce 2.87

Total DFT energy (no corrections): -6.87 eV per atom
Theoretical density: 6.46 g cm⁻³
Formation energy (no corrections): -1.7579 eV per atom